Entry 1:
# PBE ZnCuTc, relaxed
# * energy relative to the elements: -15.2 meV/atom
# * relative energy among the computed polymorphs: 16 meV/atom
# * crystal system: monoclinic
data_ZnCuTc
_cell_length_a 4.7311
_cell_length_b 2.7420
_cell_length_c 12.8196
_cell_angle_alpha 90.00
_cell_angle_beta 90.02
_cell_angle_gamma 90.00
_space_group_name_H-M_alt 'C 1 m 1'
_space_group_IT_number 8
loop_
_space_group_symop_operation_xyz
'x,y,z'
'x,-y,z'
'x+1/2,y+1/2,z'
'x+1/2,-y+1/2,z'
loop_
_atom_site_label
_atom_site_fract_x
_atom_site_fract_y
_atom_site_fract_z
_atom_site_occupancy
Zn1 0.0000 0.0000 0.0000 1
Zn2 0.1663 0.5000 0.5182 1
Cu1 0.1665 0.5000 0.8374 1
Cu2 0.3324 0.0000 0.6806 1
Tc1 0.1654 0.5000 0.1787 1
Tc2 0.3319 0.0000 0.3406 1

Entry 2:
# PBE Sr2ScAg2O6, relaxed
# * electronic total energy: -187.30 eV per cell
# * crystal system: trigonal
data_Sr2ScAg2O6
_cell_length_a 6.1753
_cell_length_b 6.1753
_cell_length_c 16.6766
_cell_angle_alpha 90.00
_cell_angle_beta 90.00
_cell_angle_gamma 120.00
_space_group_name_H-M_alt 'R -3 m'
_space_group_IT_number 166
_space_group_name_Hall '-R 3 2"'
loop_
_atom_site_label
_atom_site_fract_x
_atom_site_fract_y
_atom_site_fract_z
_atom_site_occupancy
Sr1 0.0000 0.0000 0.2054 1
Sc1 0.0000 0.0000 0.0000 1
Ag1 0.0000 0.0000 0.4129 1
O1 0.0483 0.5242 0.7540 1

Entry 3:
# PBE MgSb3F, relaxed
# * relative energy among the computed polymorphs: 0 meV/atom
# * crystal system: cubic
data_MgSb3F
_cell_length_a 4.9443
_cell_length_b 4.9443
_cell_length_c 4.9443
_cell_angle_alpha 90.00
_cell_angle_beta 90.00
_cell_angle_gamma 90.00
_space_group_name_H-M_alt 'P m -3 m'
_space_group_IT_number 221
_space_group_name_Hall '-P 4 2 3'
loop_
_atom_site_label
_atom_site_fract_x
_atom_site_fract_y
_atom_site_fract_z
_atom_site_occupancy
Mg1 0.0000 0.0000 0.0000 1
Sb1 0.0000 0.5000 0.5000 1
F1 0.5000 0.5000 0.5000 1

Entry 4:
# PBE BeZnN2, relaxed
# * relative energy among the computed polymorphs: 371 meV/atom
# * crystal system: trigonal
data_BeZnN2
_cell_length_a 3.0371
_cell_length_b 3.0371
_cell_length_c 16.2228
_cell_angle_alpha 90.00
_cell_angle_beta 90.00
_cell_angle_gamma 120.00
_space_group_name_H-M_alt 'R -3 m'
_space_group_IT_number 166
_space_group_name_Hall '-R 3 2"'
loop_
_atom_site_label
_atom_site_fract_x
_atom_site_fract_y
_atom_site_fract_z
_atom_site_occupancy
Be1 0.0000 0.0000 0.0000 1
Zn1 0.0000 0.0000 0.5000 1
N1 0.0000 0.0000 0.0951 1

Entry 5:
# PBE Rb3BaB, relaxed
# * energy relative to the elements: 1587.3 meV/atom
# * relative energy among the computed polymorphs: 697 meV/atom
# * crystal system: cubic
data_Rb3BaB
_cell_length_a 8.5577
_cell_length_b 8.5577
_cell_length_c 8.5577
_cell_angle_alpha 90.00
_cell_angle_beta 90.00
_cell_angle_gamma 90.00
_space_group_name_H-M_alt 'P m -3 m'
_space_group_IT_number 221
_space_group_name_Hall '-P 4 2 3'
loop_
_atom_site_label
_atom_site_fract_x
_atom_site_fract_y
_atom_site_fract_z
_atom_site_occupancy
Rb1 0.0000 0.0000 0.5000 1
Ba1 0.0000 0.0000 0.0000 1
B1 0.5000 0.5000 0.5000 1

Entry 6:
# PBE Sc2SbPt2, relaxed
# * relative energy among the computed polymorphs: 0 meV/atom
# * crystal system: tetragonal
data_Sc2SbPt2
_cell_length_a 7.6160
_cell_length_b 7.6160
_cell_length_c 3.3594
_cell_angle_alpha 90.00
_cell_angle_beta 90.00
_cell_angle_gamma 90.00
_space_group_name_H-M_alt 'P 4/m b m'
_space_group_IT_number 127
_space_group_name_Hall '-P 4 2ab'
loop_
_atom_site_label
_atom_site_fract_x
_atom_site_fract_y
_atom_site_fract_z
_atom_site_occupancy
Sc1 0.1650 0.3350 0.0000 1
Sb1 0.0000 0.0000 0.5000 1
Pt1 0.1301 0.6301 0.5000 1

Entry 7:
# PBE BaSrN2Cl, relaxed
# * electronic total energy: -21.08 eV per cell
# * crystal system: tetragonal
data_BaSrN2Cl
_cell_length_a 4.7023
_cell_length_b 4.7023
_cell_length_c 5.8283
_cell_angle_alpha 90.00
_cell_angle_beta 90.00
_cell_angle_gamma 90.00
_space_group_name_H-M_alt 'P 4/m m m'
_space_group_IT_number 123
_space_group_name_Hall '-P 4 2'
loop_
_atom_site_label
_atom_site_fract_x
_atom_site_fract_y
_atom_site_fract_z
_atom_site_occupancy
Ba1 0.0000 0.0000 0.0000 1
Sr1 0.5000 0.5000 0.5000 1
N1 0.0000 0.5000 0.0000 1
Cl1 0.0000 0.0000 0.5000 1

Entry 8:
# PBE Pm3PrH8, relaxed
# * electronic total energy: -53.82 eV per cell
# * crystal system: cubic
data_Pm3PrH8
_cell_length_a 5.4401
_cell_length_b 5.4401
_cell_length_c 5.4401
_cell_angle_alpha 90.00
_cell_angle_beta 90.00
_cell_angle_gamma 90.00
_space_group_name_H-M_alt 'P m -3 m'
_space_group_IT_number 221
_space_group_name_Hall '-P 4 2 3'
loop_
_atom_site_label
_atom_site_fract_x
_atom_site_fract_y
_atom_site_fract_z
_atom_site_occupancy
Pm1 0.0000 0.0000 0.5000 1
Pr1 0.5000 0.5000 0.5000 1
H1 0.2468 0.2468 0.2468 1

Entry 9:
# PBE Ba2SnTe, relaxed
# * relative energy among the computed polymorphs: 74 meV/atom
# * crystal system: tetragonal
data_Ba2SnTe
_cell_length_a 9.3221
_cell_length_b 9.3221
_cell_length_c 8.0589
_cell_angle_alpha 90.00
_cell_angle_beta 90.00
_cell_angle_gamma 90.00
_space_group_name_H-M_alt 'I -4 2 d'
_space_group_IT_number 122
_space_group_name_Hall 'I -4 2bw'
loop_
_atom_site_label
_atom_site_fract_x
_atom_site_fract_y
_atom_site_fract_z
_atom_site_occupancy
Ba1 0.2398 0.2500 0.1250 1
Sn1 0.0000 0.0000 0.5000 1
Te1 0.0000 0.0000 0.0000 1

Entry 10:
# PBE Dy2HoTh, relaxed
# * energy relative to the elements: 51.9 meV/atom
# * relative energy among the computed polymorphs: 28 meV/atom
# * crystal system: tetragonal
data_Dy2HoTh
_cell_length_a 5.0401
_cell_length_b 5.0401
_cell_length_c 9.9952
_cell_angle_alpha 90.00
_cell_angle_beta 90.00
_cell_angle_gamma 90.00
_space_group_name_H-M_alt 'I 4/m m m'
_space_group_IT_number 139
_space_group_name_Hall '-I 4 2'
loop_
_atom_site_label
_atom_site_fract_x
_atom_site_fract_y
_atom_site_fract_z
_atom_site_occupancy
Dy1 0.0000 0.5000 0.2500 1
Ho1 0.0000 0.0000 0.0000 1
Th1 0.0000 0.0000 0.5000 1

Entry 11:
# PBE SmThCoCl, relaxed
# * electronic total energy: -73.18 eV per cell
# * crystal system: trigonal
data_SmThCoCl
_cell_length_a 3.9746
_cell_length_b 3.9746
_cell_length_c 22.8175
_cell_angle_alpha 90.00
_cell_angle_beta 90.00
_cell_angle_gamma 120.00
_space_group_name_H-M_alt 'R 3 m'
_space_group_IT_number 160
_space_group_name_Hall 'R 3 -2"'
loop_
_atom_site_label
_atom_site_fract_x
_atom_site_fract_y
_atom_site_fract_z
_atom_site_occupancy
Sm1 0.0000 0.0000 0.0000 1
Th1 0.0000 0.0000 0.7935 1
Co1 0.0000 0.0000 0.4034 1
Cl1 0.0000 0.0000 0.2330 1

Entry 12:
# PBE NdDy12Tm5, relaxed
# * energy relative to the elements: 21.5 meV/atom
# * crystal system: orthorhombic
data_NdDy12Tm5
_cell_length_a 14.9802
_cell_length_b 15.0039
_cell_length_c 4.9941
_cell_angle_alpha 90.00
_cell_angle_beta 90.00
_cell_angle_gamma 90.00
_space_group_name_H-M_alt 'C m m m'
_space_group_IT_number 65
_space_group_name_Hall '-C 2 2'
loop_
_atom_site_label
_atom_site_fract_x
_atom_site_fract_y
_atom_site_fract_z
_atom_site_occupancy
Nd1 0.0000 0.0000 0.0000 1
Dy1 0.1656 0.3338 0.5000 1
Dy2 0.1656 0.5000 0.0000 1
Dy3 0.1670 0.1676 0.0000 1
Dy4 0.1678 0.0000 0.5000 1
Tm1 0.0000 0.1682 0.5000 1
Tm2 0.0000 0.3335 0.0000 1
Tm3 0.0000 0.5000 0.5000 1

| no. | spin magnetization (μB per formula unit) |
| --- | --- |
| 1 | 0.0 |
| 2 | 2.0 |
| 3 | 0.0 |
| 4 | 0.0 |
| 5 | 2.1 |
| 6 | 0.0 |
| 7 | 0.9 |
| 8 | 0.0 |
| 9 | 0.0 |
| 10 | 0.0 |
| 11 | 0.0 |
| 12 | 0.0 |